KLa2Zn | Alexandria via LeMat-Bulk | PBE | optimized geometry; formation energy from the elements = 315.0 meV per atom; E above lowest polymorph = 299.8 meV/atom
1.0
-5.1276 2.4486 -4.2338
-0.5516 -6.2477 3.2978
-2.7159 0.5457 2.2801
La Zn K
2 1 1
Direct
0.0000 0.0000 0.0000 La
0.5000 0.5000 0.0000 La
0.5000 0.0000 0.5000 Zn
0.0000 0.5000 0.5000 K

***

YInPCl2 | Alexandria via LeMat-Bulk | PBE | optimized geometry; raw formation energy = -0.9642 eV/atom; E above lowest polymorph = 0.0 meV/atom
1.0
-4.6581 -2.2052 0.7096
-0.4578 -0.6858 -5.1366
2.4526 -5.0347 0.4536
Cl P In Y
2 1 1 1
Direct
0.0000 0.5000 0.0000 Cl
0.5000 0.0000 0.0000 Cl
0.0000 0.0000 0.5000 P
0.5000 0.5000 0.5000 In
0.0000 0.0000 0.0000 Y

***

Dy5ZnIn4 | Alexandria via LeMat-Bulk | PBE | optimized geometry; formation energy from the elements = -451.8 meV per atom
1.0
-0.3410 1.2729 3.3567
-3.5452 -0.6498 -0.1137
3.1050 -18.2043 7.2186
In Dy Zn
4 5 1
Direct
0.0000 0.0000 0.6039 In
0.0000 0.0000 0.8109 In
0.0000 0.0000 0.1891 In
0.0000 0.0000 0.3961 In
0.5000 0.5000 0.0868 Dy
0.5000 0.5000 0.5000 Dy
0.5000 0.5000 0.2927 Dy
0.5000 0.5000 0.7073 Dy
0.5000 0.5000 0.9132 Dy
0.0000 0.0000 0.0000 Zn

***

AcMg2In2Ag | Alexandria via LeMat-Bulk | PBE | optimized geometry; formation energy from the elements = 127.7 meV per atom
1.0
-3.6669 -3.9293 1.2120
3.1465 -3.7267 -2.5624
3.2029 2.7017 5.9269
Mg In Ac Ag
2 2 1 1
Direct
0.2500 0.7500 0.5000 Mg
0.7500 0.2500 0.5000 Mg
0.7860 0.7860 0.5721 In
0.2140 0.2140 0.4279 In
0.5000 0.5000 0.0000 Ac
0.0000 0.0000 0.0000 Ag

***

Pr2TlAg3 | Alexandria via LeMat-Bulk | PBE | optimized geometry; formation energy from the elements = -267.6 meV per atom; E above lowest polymorph = 0.0 meV/atom
1.0
5.9946 -0.9307 0.0000
-1.1628 5.9539 0.0000
-2.4159 -2.5116 8.6617
Ag Pr Tl
6 4 2
Direct
0.3287 0.8347 0.1635 Ag
0.8347 0.3287 0.1635 Ag
0.6713 0.1653 0.8365 Ag
0.1648 0.1648 0.3297 Ag
0.1653 0.6713 0.8365 Ag
0.8352 0.8352 0.6703 Ag
0.7558 0.7558 0.0000 Pr
0.7500 0.2500 0.5000 Pr
0.2500 0.7500 0.5000 Pr
0.2442 0.2442 0.0000 Pr
0.6665 0.6665 0.3330 Tl
0.3335 0.3335 0.6670 Tl

***

Rb2CaCo | Alexandria via LeMat-Bulk | PBE | optimized geometry; formation energy from the elements = 1010.4 meV per atom; E above lowest polymorph = 254.7 meV/atom
1.0
-2.8191 -5.4376 1.7160
-0.9847 -1.2674 6.1550
-5.9063 0.0864 2.3597
Ca Co Rb
1 1 2
Direct
0.0000 0.0000 0.0000 Ca
0.5000 0.5000 0.5000 Co
0.7500 0.7500 0.7500 Rb
0.2500 0.2500 0.2500 Rb

***

LiCaCrP2 | Alexandria via LeMat-Bulk | PBE | optimized geometry; formation energy from the elements = 186.0 meV per atom
1.0
-0.3082 -4.5393 0.8639
2.3397 -0.8258 -3.5047
3.8710 0.2192 2.5326
P Ca Cr Li
2 1 1 1
Direct
0.0000 0.0000 0.5000 P
0.5000 0.0000 0.0000 P
0.5000 0.5000 0.5000 Ca
0.0000 0.5000 0.0000 Cr
0.0000 0.0000 0.0000 Li

***

CsBe3Au | Alexandria via LeMat-Bulk | PBE | optimized geometry; formation energy from the elements = 2393.9 meV per atom; E above lowest polymorph = 1871.7 meV/atom
1.0
-2.8433 2.1153 -5.4191
3.1949 -4.4729 -3.4223
-4.8615 -4.1767 0.9204
Cs Au Be
1 1 3
Direct
0.0000 0.0000 0.0000 Cs
0.5000 0.5000 0.5000 Au
0.5000 0.0000 0.0000 Be
0.0000 0.0000 0.5000 Be
0.0000 0.5000 0.0000 Be

***

CdTeHI2 | Alexandria via LeMat-Bulk | PBE | optimized geometry; E above lowest polymorph = 0.0 meV/atom
1.0
5.8891 0.0000 0.0000
0.0000 5.8891 0.0000
0.0000 0.0000 3.9041
H Te I Cd
1 1 2 1
Direct
0.0000 0.0000 0.0000 H
0.0000 0.0000 0.5000 Te
0.0000 0.5000 0.0000 I
0.5000 0.0000 0.0000 I
0.5000 0.5000 0.5000 Cd

***

PrSmSe2 | Alexandria via LeMat-Bulk | PBE | optimized geometry; raw formation energy = -1.8279 eV/atom; E above lowest polymorph = 4.3 meV/atom
1.0
-1.5341 2.7339 -2.7310
-2.5739 -2.4536 2.1544
-0.7708 9.8222 10.2656
Se Sm Pr
4 2 2
Direct
0.6667 0.3333 0.6198 Se
0.3333 0.6667 0.1198 Se
0.3333 0.6667 0.3802 Se
0.6667 0.3333 0.8802 Se
0.0000 0.0000 0.5000 Sm
0.0000 0.0000 0.0000 Sm
0.6667 0.3333 0.2500 Pr
0.3333 0.6667 0.7500 Pr

***

Dy2YMg | Alexandria via LeMat-Bulk | PBE | optimized geometry; formation energy from the elements = -33.7 meV per atom; E above lowest polymorph = 0.0 meV/atom
1.0
4.8822 0.0137 -1.3523
-0.3930 4.8664 -1.3523
0.1322 0.1437 9.9249
Mg Dy Y
2 4 2
Direct
0.7500 0.2500 0.0000 Mg
0.2500 0.7500 0.0000 Mg
0.5000 0.0000 0.5000 Dy
0.8686 0.8686 0.2373 Dy
0.1314 0.1314 0.7627 Dy
0.0000 0.5000 0.5000 Dy
0.6330 0.6330 0.7660 Y
0.3670 0.3670 0.2340 Y

***

Th2B7Ru12 | Alexandria via LeMat-Bulk | PBE | optimized geometry; formation energy from the elements = -201.9 meV per atom
1.0
-1.5867 -2.4211 2.4750
0.1779 -6.5411 -6.2845
7.0521 1.1032 5.6002
Ru Th B
12 2 7
Direct
0.5000 0.7253 0.1051 Ru
0.0000 0.9789 0.2379 Ru
0.5000 0.2419 0.7825 Ru
0.5000 0.5406 0.7581 Ru
0.5000 0.2175 0.4594 Ru
0.5000 0.8949 0.6202 Ru
0.5000 0.3798 0.2747 Ru
0.0000 0.7621 0.7411 Ru
0.0000 0.2589 0.0211 Ru
0.0000 0.4860 0.9346 Ru
0.0000 0.4486 0.5140 Ru
0.0000 0.0654 0.5514 Ru
0.5000 0.0000 0.0000 Th
0.0000 0.6667 0.3333 Th
0.0000 0.7419 0.9814 B
0.5000 0.9508 0.3764 B
0.0000 0.0186 0.7604 B
0.5000 0.6236 0.5743 B
0.0000 0.3333 0.6667 B
0.0000 0.2396 0.2581 B
0.5000 0.4257 0.0492 B

***

LiAg2AuF6 | Alexandria via LeMat-Bulk | PBE | optimized geometry; raw formation energy = -1.3934 eV/atom
1.0
-5.0119 0.1569 -1.1507
-2.1055 -5.6609 -1.0162
-3.1815 -3.4324 3.9560
F Ag Li Au
6 2 1 1
Direct
0.0104 0.4477 0.2649 F
0.4988 0.6623 0.8694 F
0.1329 0.4982 0.7060 F
0.1256 0.9654 0.2280 F
0.6220 0.1031 0.9195 F
0.5070 0.1401 0.4019 F
0.5558 0.6345 0.2898 Ag
0.0767 0.0777 0.7331 Ag
0.3162 0.3168 0.0508 Li
0.8161 0.8160 0.5518 Au

***

Ca2CoSb2 | Alexandria via LeMat-Bulk | PBE | optimized geometry; raw formation energy = -0.4449 eV/atom
1.0
-3.3847 3.7450 4.9195
1.7311 -4.8101 4.8527
4.1190 2.4556 0.9646
Sb Ca Co
4 4 2
Direct
0.1519 0.3481 0.0000 Sb
0.3481 0.8481 0.0000 Sb
0.8481 0.6519 0.0000 Sb
0.6519 0.1519 0.0000 Sb
0.6675 0.8325 0.5000 Ca
0.8325 0.3325 0.5000 Ca
0.3325 0.1675 0.5000 Ca
0.1675 0.6675 0.5000 Ca
0.0000 0.0000 0.0000 Co
0.5000 0.5000 0.0000 Co

***

AgS2O | Alexandria via LeMat-Bulk | PBE | optimized geometry; raw formation energy = 0.4675 eV/atom
1.0
5.0158 0.0000 0.0000
0.0000 5.0158 0.0000
2.5079 2.5079 5.9619
S Ag O
4 2 2
Direct
0.8750 0.6917 0.7500 S
0.3083 0.6250 0.2500 S
0.3750 0.5583 0.7500 S
0.4417 0.1250 0.2500 S
0.0000 0.0000 0.0000 Ag
0.7500 0.2500 0.5000 Ag
0.2500 0.7500 0.5000 O
0.5000 0.5000 0.0000 O

***

TaBe2NbGa | Alexandria via LeMat-Bulk | PBE | optimized geometry; formation energy from the elements = 888.7 meV per atom; E above lowest polymorph = 0.0 meV/atom
1.0
-4.0259 -0.5506 0.5480
-0.0782 -3.1151 -3.7044
0.7740 -3.0897 2.5819
Ga Ta Nb Be
1 1 1 2
Direct
0.0000 0.0000 0.0000 Ga
0.0000 0.5000 0.0000 Ta
0.5000 0.5000 0.5000 Nb
0.5000 0.0000 0.0000 Be
0.0000 0.0000 0.5000 Be

***

La5Ge2Cl2 | Alexandria via LeMat-Bulk | PBE | optimized geometry; raw formation energy = -1.0646 eV/atom
1.0
2.6048 -4.7234 6.0378
1.9773 -5.7842 -5.3780
8.2713 0.6358 2.3573
Cl Ge La
4 4 10
Direct
0.6922 0.5000 0.6156 Cl
0.1922 0.0000 0.6156 Cl
0.8078 0.0000 0.3844 Cl
0.3078 0.5000 0.3844 Cl
0.6431 0.1430 0.0000 Ge
0.1431 0.3570 0.0000 Ge
0.8569 0.6430 0.0000 Ge
0.3569 0.8570 0.0000 Ge
0.7041 0.3469 0.2697 La
0.5262 0.8469 0.2697 La
0.0262 0.6531 0.2697 La
0.9738 0.3469 0.7303 La
0.5000 0.5000 0.0000 La
0.0000 0.0000 0.0000 La
0.2041 0.1531 0.2697 La
0.7959 0.8469 0.7303 La
0.2959 0.6531 0.7303 La
0.4738 0.1531 0.7303 La

***

YPb2Au2 | Alexandria via LeMat-Bulk | PBE | optimized geometry; formation energy from the elements = -245.3 meV per atom; E above lowest polymorph = 86.0 meV/atom
1.0
4.4399 0.0000 0.0000
0.0000 4.4399 0.0000
2.2200 2.2200 6.6575
Au Pb Y
2 2 1
Direct
0.5990 0.5990 0.8020 Au
0.4010 0.4010 0.1980 Au
0.7500 0.2500 0.5000 Pb
0.2500 0.7500 0.5000 Pb
0.0000 0.0000 0.0000 Y

***

RbNaMg2Hg | Alexandria via LeMat-Bulk | PBE | optimized geometry; formation energy from the elements = 19.4 meV per atom
1.0
-4.2371 2.7395 -2.0043
-3.0526 -4.4772 0.3336
-1.6548 1.5465 5.6120
Na Mg Hg Rb
1 2 1 1
Direct
0.0000 0.0000 0.5000 Na
0.0000 0.5000 0.0000 Mg
0.5000 0.0000 0.0000 Mg
0.0000 0.0000 0.0000 Hg
0.5000 0.5000 0.5000 Rb

***

Pr3O2 | Alexandria via LeMat-Bulk | PBE | optimized geometry; raw formation energy = -2.0709 eV/atom
1.0
6.3762 0.0000 0.0000
3.1881 5.5220 0.0000
3.1881 1.8407 5.8476
O Pr
4 6
Direct
0.3356 0.3356 0.9933 O
0.6644 0.6644 0.0067 O
0.8356 0.8356 0.4933 O
0.1644 0.1644 0.5067 O
0.9206 0.2500 0.2500 Pr
0.7500 0.4206 0.7500 Pr
0.4206 0.0794 0.7500 Pr
0.0794 0.7500 0.7500 Pr
0.5794 0.9206 0.2500 Pr
0.2500 0.5794 0.2500 Pr

***

CePm2Dy5Tm | Alexandria via LeMat-Bulk | PBE | optimized geometry; formation energy from the elements = 274.1 meV per atom
1.0
8.5189 0.0000 0.0000
0.0000 8.5189 0.0000
-4.2594 -4.2594 7.8721
Dy Tm Pm Ce
10 2 4 2
Direct
0.9389 0.4389 0.2839 Dy
0.6550 0.1550 0.7161 Dy
0.0000 0.0000 0.0000 Dy
0.8450 0.9389 0.2839 Dy
0.5000 0.5000 0.0000 Dy
0.0611 0.5611 0.7161 Dy
0.3450 0.8450 0.2839 Dy
0.4389 0.3450 0.2839 Dy
0.1550 0.0611 0.7161 Dy
0.5611 0.6550 0.7161 Dy
0.7500 0.7500 0.5000 Tm
0.2500 0.2500 0.5000 Tm
0.3784 0.8784 0.0000 Pm
0.8784 0.6216 0.0000 Pm
0.6216 0.1216 0.0000 Pm
0.1216 0.3784 0.0000 Pm
0.2500 0.7500 0.5000 Ce
0.7500 0.2500 0.5000 Ce

***

TcOs2Au | Alexandria via LeMat-Bulk | PBE | optimized geometry; formation energy from the elements = 525.4 meV per atom; E above lowest polymorph = 281.5 meV/atom
1.0
-2.1617 -0.4183 3.2087
-2.3015 -2.5705 -1.8857
2.3221 -2.9452 1.1805
Os Tc Au
2 1 1
Direct
0.0000 0.0000 0.0000 Os
0.0000 0.5000 0.5000 Os
0.5000 0.5000 0.0000 Tc
0.5000 0.0000 0.5000 Au

***

TiV4W8 | Alexandria via LeMat-Bulk | PBE | optimized geometry; formation energy from the elements = 171.0 meV per atom
1.0
5.1220 0.0000 0.0000
2.5610 6.3849 0.0000
2.5610 0.0000 6.3849
W V Ti
8 4 1
Direct
0.2869 0.2131 0.2131 W
0.7131 0.7869 0.7869 W
0.0000 0.3547 0.6453 W
0.0000 0.6453 0.3547 W
0.5000 0.2131 0.7869 W
0.5000 0.7869 0.2131 W
0.3547 0.6453 0.6453 W
0.6453 0.3547 0.3547 W
0.5000 0.0000 0.5000 V
0.5000 0.5000 0.0000 V
0.0000 0.5000 0.0000 V
0.0000 0.0000 0.5000 V
0.0000 0.0000 0.0000 Ti

***

TbThIrBr | Alexandria via LeMat-Bulk | PBE | optimized geometry; raw formation energy = -1.0800 eV/atom
1.0
-2.6487 3.1862 0.2988
0.9728 -2.2154 3.3754
7.4723 3.4946 0.1339
Th Br Ir Tb
1 1 1 1
Direct
0.0927 0.9443 0.0525 Th
0.9653 0.3812 0.3608 Br
0.3061 0.5508 0.8724 Ir
0.5138 0.1545 0.6840 Tb

***

Number 1: Fermi-level density of states 4.77 states/eV per cell. Number 2: Fermi-level density of states 3.02 states/eV per cell. Number 3: Fermi-level density of states 6.93 states/eV per cell. Number 4: Fermi-level density of states 4.45 states/eV per cell. Number 5: Fermi-level density of states 9.91 states/eV per cell. Number 6: Fermi-level density of states 6.19 states/eV per cell. Number 7: Fermi-level density of states 2.57 states/eV per cell. Number 8: Fermi-level density of states 0.00 states/eV per cell. Number 9: Fermi-level density of states 3.55 states/eV per cell. Number 10: Fermi-level density of states 3.57 states/eV per cell. Number 11: Fermi-level density of states 8.55 states/eV per cell. Number 12: Fermi-level density of states 16.35 states/eV per cell. Number 13: Fermi-level density of states 0.48 states/eV per cell. Number 14: Fermi-level density of states 7.84 states/eV per cell. Number 15: Fermi-level density of states 1.96 states/eV per cell. Number 16: Fermi-level density of states 3.26 states/eV per cell. Number 17: Fermi-level density of states 17.27 states/eV per cell. Number 18: Fermi-level density of states 2.02 states/eV per cell. Number 19: Fermi-level density of states 2.42 states/eV per cell. Number 20: Fermi-level density of states 8.42 states/eV per cell. Number 21: Fermi-level density of states 31.11 states/eV per cell. Number 22: Fermi-level density of states 4.47 states/eV per cell. Number 23: Fermi-level density of states 10.95 states/eV per cell. Number 24: Fermi-level density of states 2.46 states/eV per cell.